This record from the Alexandria database describes Os4Rh after structural relaxation. The functional is GGA-PBE.

POSCAR file:
```
Os4Rh
1.0
-3.043 3.043 1.932
3.043 -3.043 1.932
3.043 3.043 -1.932
Os Rh
4 1
direct
0.093 0.699 0.792
0.301 0.093 0.394
0.699 0.907 0.606
0.907 0.301 0.208
0.500 0.500 0.000
```

- Energy above the most stable polymorph in this dataset: 0.000 eV per formula unit
- Energy of formation: 110 meV per atom
- SG: I4/m, No. 87